Record 1
The following is a PBE-GGA calculation of K2PuCoH6 after structural relaxation, from the Alexandria database.

a = 5.6931 Å, b = 5.6931 Å, c = 5.8491 Å
α = 90.00°, β = 90.00°, γ = 120.00°
Space group P-3m1 (No. 164)
Inequivalent atoms, fractional coordinates:
K 0.3333 0.6667 0.3670 x2
Pu 0.0000 0.0000 0.0000 x1
Co 0.0000 0.0000 0.5000 x1
H 0.1287 0.2575 0.6611 x6

* magnetic moment: 6.8 μB per formula unit
* crystal system: trigonal

=====

Record 2
The following is a PBE-GGA calculation of K2Rb2CoH6 after structural relaxation, from the Alexandria database.

a = 6.319 Å, b = 12.504 Å, c = 6.256 Å
α = 90.00°, β = 94.09°, γ = 90.00°
Space group C2/m (No. 12)
Inequivalent atoms, fractional coordinates:
K 0.000 0.126 0.000 x4
Rb 0.000 0.350 0.500 x4
Co 0.000 0.000 0.500 x2
H 0.124 0.090 0.630 x8
H 0.174 0.000 0.331 x4

* magnetic moment: 0.7 μB per formula unit
* crystal system: monoclinic

=====

Record 3
The following is a PBE-GGA calculation of KCoHRu2 after structural relaxation, from the Alexandria database.

a = 4.881 Å, b = 4.881 Å, c = 4.525 Å
α = 90.00°, β = 90.00°, γ = 90.00°
Space group P4/mmm (No. 123)
Inequivalent atoms, fractional coordinates:
K 0.000 0.000 0.000 x1
Co 0.000 0.000 0.500 x1
H 0.500 0.500 0.500 x1
Ru 0.000 0.500 0.000 x2

* magnetic moment: 6.5 μB per formula unit
* crystal system: tetragonal

=====

Record 4
The following is a PBE-GGA calculation of KCo2HRu after structural relaxation, from the Alexandria database.

a = 4.763 Å, b = 4.763 Å, c = 3.153 Å
α = 90.00°, β = 90.00°, γ = 90.00°
Space group P4/mmm (No. 123)
Inequivalent atoms, fractional coordinates:
K 0.000 0.000 0.000 x1
Co 0.000 0.500 0.000 x2
H 0.000 0.000 0.500 x1
Ru 0.500 0.500 0.500 x1

* magnetic moment: 5.0 μB per formula unit
* crystal system: tetragonal

=====

Record 5
The following is a PBE-GGA calculation of K2CoSnH6 after structural relaxation, from the Alexandria database.

a = 5.556 Å, b = 5.556 Å, c = 7.930 Å
α = 90.00°, β = 90.00°, γ = 90.00°
Space group I4/mmm (No. 139)
Inequivalent atoms, fractional coordinates:
K 0.000 0.500 0.250 x4
Co 0.000 0.000 0.000 x2
Sn 0.000 0.000 0.500 x2
H 0.000 0.000 0.206 x4
H 0.208 0.208 0.000 x8

* magnetic moment: 0.0 μB per formula unit
* crystal system: tetragonal

=====

Record 6
The following is a PBE-GGA calculation of K2SrCoH6 after structural relaxation, from the Alexandria database.

a = 5.7811 Å, b = 5.7811 Å, c = 6.1016 Å
α = 90.00°, β = 90.00°, γ = 120.00°
Space group P-3m1 (No. 164)
Inequivalent atoms, fractional coordinates:
K 0.3333 0.6667 0.3849 x2
Sr 0.0000 0.0000 0.0000 x1
Co 0.0000 0.0000 0.5000 x1
H 0.1270 0.2540 0.6504 x6

* magnetic moment: 0.8 μB per formula unit
* crystal system: trigonal

=====

In the order shown, the computed theoretical density values come out to 3.92; 2.12; 4.64; 6.01; 3.55; 2.17 g/cm³.
In the order shown, the computed DOS(E_F) values come out to 14.18; 3.38; 7.02; 5.37; 3.84; 1.93 states/eV per cell.
In the order shown, the computed DFT total energy values come out to -4.484; -2.953; -2.723; -3.425; -3.360; -3.365 eV per atom.